12
Lattice="7.087 0.000 -0.011 0.000 3.268 0.000 -5.722 0.000 7.628" Properties=species:S:1:pos:R:3 comment="MgCuTcSnOsC PBE optimized geometry" space_group="Cm, No. 8" formation_enthalpy_0k_ev_per_atom=0.23 e_above_lowest_polymorph_ev_per_atom=0.000 dos_ef_per_ev_fu=2.4 pbc="T T T"
Os 2.690 1.634 2.327
Os -0.171 0.000 6.141
Sn 5.428 1.634 0.751
Cu 0.495 0.000 1.417
Tc 2.032 1.634 6.690
Cu -2.366 1.634 5.231
Mg -2.742 0.000 7.458
Tc 4.893 0.000 2.876
C -1.243 0.000 4.557
Sn 2.567 0.000 4.565
Mg 0.119 1.634 3.644
C 1.619 1.634 0.743

=====

5
Lattice="4.528 0.000 0.000 0.000 4.528 0.000 0.000 0.000 4.528" Properties=species:S:1:pos:R:3 comment="Fe3CuI PBE optimized geometry" space_group="Pm-3m, No. 221" e_above_lowest_polymorph_ev_per_atom=0.000 e_form_raw_kcal_per_mol_atoms=26.31 dos_ef_per_ev_fu=8.1 pbc="T T T"
Fe 2.264 0.000 0.000
Cu 0.000 0.000 0.000
I 2.264 2.264 2.264
Fe 0.000 0.000 2.264
Fe 0.000 2.264 0.000

=====

4
Lattice="-3.189 -3.557 3.661 -1.797 2.044 5.368 -5.825 1.147 0.987" Properties=species:S:1:pos:R:3 comment="BaSnI2 PBE optimized geometry" space_group="Fm-3m, No. 225" e_above_lowest_polymorph_ev_per_atom=0.000 e_form_raw_kcal_per_mol_atoms=-16.70 dos_ef_per_ev_fu=3.2 pbc="T T T"
Sn 0.000 0.000 0.000
I -2.703 -0.092 2.504
I -8.109 -0.275 7.512
Ba -5.406 -0.183 5.008

=====

Per-record M_tot, μB per formula unit: 0.00 8.71 1.40
Per-record calculated total energy, eV/atom: -6.53 -5.07 -2.98